[1]
An optimized crystal structure of ZrHAu2. Source: Alexandria, functional PBE.

For the energy above the most stable polymorph in this dataset, the calculation gives 625 meV/atom.

The structure belongs to space group Fm-3m (No. 225); the cell edges are 6.5104, 6.5104 and 6.5104 Å and the angles 90.00°, 90.00° and 90.00°. The asymmetric unit holds Zr at (0.0000, 0.0000, 0.0000), H at (0.0000, 0.0000, 0.5000) and Au at (0.2500, 0.2500, 0.2500).

[2]
An optimized crystal structure of ZrH2Au. Source: Alexandria, functional PBE.

For the energy above the most stable polymorph in this dataset, the calculation gives 0 meV/atom.

The structure belongs to space group Pmmn (No. 59, origin choice 2); the cell edges are 3.3270, 5.0298 and 5.6203 Å and the angles 90.00°, 90.00° and 90.00°. The asymmetric unit holds Zr at (0.2500, 0.2500, 0.1440), H at (0.2500, 0.5146, 0.8759) and Au at (0.2500, 0.7500, 0.4208).

[3]
An optimized crystal structure of ZrH2Au. Source: Alexandria, functional PBE.

For the energy above the most stable polymorph in this dataset, the calculation gives 252 meV/atom.

The structure belongs to space group I-42d (No. 122); the cell edges are 4.3167, 4.3167 and 10.5020 Å and the angles 90.00°, 90.00° and 90.00°. The asymmetric unit holds Zr at (0.0000, 0.0000, 0.0000), H at (0.2215, 0.2500, 0.1250) and Au at (0.0000, 0.0000, 0.5000).

[4]
An optimized crystal structure of ZrHAu2. Source: Alexandria, functional PBE.

For the energy above the most stable polymorph in this dataset, the calculation gives 0 meV/atom.

The structure belongs to space group P2_1/m (No. 11); the cell edges are 3.4898, 3.4624 and 10.1069 Å and the angles 90.00°, 90.10° and 90.00°. The asymmetric unit holds Zr at (0.2483, 0.2500, 0.1263), H at (0.2506, 0.7500, 0.9998), Au at (0.2495, 0.2500, 0.4230) and Au at (0.2513, 0.2500, 0.7271).

[5]
An optimized crystal structure of Zr6HAu. Source: Alexandria, functional PBE.

For the total energy, the calculation gives -7.40 eV/atom.

The structure belongs to space group P-1 (No. 2); the cell edges are 5.4139, 5.4951 and 5.5380 Å and the angles 99.74°, 102.30° and 98.73°. The asymmetric unit holds Zr at (0.0735, 0.2718, 0.1368), Zr at (0.2282, 0.8543, 0.4334), Zr at (0.3564, 0.4182, 0.7273), H at (0.0000, 0.5000, 0.5000) and Au at (0.5000, 0.0000, 0.0000).

[6]
An optimized crystal structure of Zr2H2Au. Source: Alexandria, functional PBE.

For the total energy, the calculation gives -5.94 eV/atom.

The structure belongs to space group I4/mmm (No. 139); the cell edges are 3.2823, 3.2823 and 12.6309 Å and the angles 90.00°, 90.00° and 90.00°. The asymmetric unit holds Zr at (0.0000, 0.0000, 0.1453), H at (0.0000, 0.5000, 0.2500) and Au at (0.0000, 0.0000, 0.5000).